Entry 1:
{
  "formula": "InAg2Br",
  "functional": "PBEsol",
  "state": "optimized geometry",
  "lattice": [[3.346, 0.103, 0.000], [-1.330, 3.072, 0.000], [0.000, 0.000, 8.208]],
  "species": ["Br", "Ag", "Ag", "In"],
  "frac_coords": [[0.500, 0.500, 0.500], [0.000, 0.000, 0.250], [0.000, 0.000, 0.750], [0.500, 0.500, 0.000]],
  "magmom_total_mub_per_fu": 0.00,
  "relative_energy_mev_per_atom": 0
}

***

Entry 2:
{
  "formula": "In2AgBr",
  "functional": "PBEsol",
  "state": "optimized geometry",
  "lattice": [[3.321, 0.000, 0.000], [0.000, 5.299, 0.000], [-1.661, -2.650, 5.375]],
  "species": ["Br", "Ag", "In", "In"],
  "frac_coords": [[0.231, 0.731, 0.462], [0.492, 0.492, 0.985], [0.006, 0.006, 0.013], [0.770, 0.270, 0.540]],
  "magmom_total_mub_per_fu": 0.00,
  "relative_energy_mev_per_atom": 50
}

***

Entry 3:
{
  "formula": "InAg2BrN",
  "functional": "PBEsol",
  "state": "optimized geometry",
  "lattice": [[-0.605, 1.231, -4.243], [3.436, -2.560, -1.233], [-2.935, -3.633, -0.635]],
  "species": ["N", "Br", "Ag", "Ag", "In"],
  "frac_coords": [[0.000, 0.000, 0.000], [0.500, 0.500, 0.500], [0.000, 0.500, 0.000], [0.500, 0.000, 0.000], [0.000, 0.000, 0.500]],
  "magmom_total_mub_per_fu": 0.00,
  "total_energy_ev_per_atom": -3.722
}

***

Entry 4:
{
  "formula": "InAgSnBr2",
  "functional": "PBEsol",
  "state": "optimized geometry",
  "lattice": [[5.189, 0.000, 0.000], [0.000, 5.698, 0.000], [0.000, 0.000, 5.698]],
  "species": ["Br", "Br", "Sn", "Ag", "In"],
  "frac_coords": [[0.000, 0.000, 0.500], [0.000, 0.500, 0.000], [0.000, 0.000, 0.000], [0.500, 0.000, 0.000], [0.500, 0.500, 0.500]],
  "magmom_total_mub_per_fu": 0.00,
  "total_energy_ev_per_atom": -2.978
}

***

Entry 5:
{
  "formula": "AgIr2Br",
  "functional": "PBEsol",
  "state": "optimized geometry",
  "lattice": [[-1.160, 0.793, -2.562], [1.970, -2.608, -1.699], [-4.342, -3.795, 0.790]],
  "species": ["Ir", "Ir", "Br", "Ag"],
  "frac_coords": [[0.000, 0.000, 0.751], [0.000, 0.000, 0.249], [0.500, 0.500, 0.500], [0.500, 0.500, 0.000]],
  "magmom_total_mub_per_fu": 0.00,
  "relative_energy_mev_per_atom": 0
}

***

Entry 6:
{
  "formula": "AgIr2Br",
  "functional": "PBEsol",
  "state": "optimized geometry",
  "lattice": [[-4.437, 0.634, 2.748], [-4.956, -0.437, -2.873], [-2.337, -4.698, 2.340]],
  "species": ["Ir", "Ir", "Ir", "Ir", "Br", "Br", "Ag", "Ag"],
  "frac_coords": [[0.162, 0.963, 0.463], [0.588, 0.037, 0.537], [0.375, 0.463, 0.037], [0.875, 0.537, 0.963], [0.250, 0.500, 0.500], [0.500, 0.000, 0.000], [0.750, 0.500, 0.500], [0.000, 0.000, 0.000]],
  "magmom_total_mub_per_fu": 0.00,
  "relative_energy_mev_per_atom": 193
}